1.
This record from Alexandria describes a relaxed structure of MoSe5. The functional is PBE-GGA.

Summary:
symmetry: No. 191
relative energy among the computed polymorphs: 726.4 meV per atom
ΔE_f (raw): 0.73 eV per atom
density of states at the Fermi level: 5.78 states/eV per cell

a b c (Å): 5.0315 5.0315 8.5680
angles (deg): 90.00 90.00 120.00
Positions (direct):
Mo (0.0000, 0.0000, 0.0000)
Se (0.0000, 0.5000, 0.5000)
Se (0.3333, 0.6667, 0.0000)
Se (0.5000, 0.0000, 0.5000)
Se (0.5000, 0.5000, 0.5000)
Se (0.6667, 0.3333, 0.0000)



2.
This record from Alexandria describes a relaxed structure of Ca2MnOs. The functional is PBE-GGA.

Summary:
symmetry: No. 139
relative energy among the computed polymorphs: 273.9 meV per atom
density of states at the Fermi level: 2.82 states/eV per cell

a b c (Å): 5.2261 5.2261 5.2261
angles (deg): 128.18 128.18 76.34
Positions (direct):
Ca (0.2500, 0.7500, 0.5000)
Ca (0.7500, 0.2500, 0.5000)
Mn (0.0000, 0.0000, 0.0000)
Os (0.5000, 0.5000, 0.0000)



3.
This record from Alexandria describes a relaxed structure of Sr2TlPtO4. The functional is PBE-GGA.

Summary:
symmetry: No. 82
ΔE_f (raw): -1.59 eV per atom
density of states at the Fermi level: 2.24 states/eV per cell

a b c (Å): 5.5672 5.5672 5.5672
angles (deg): 111.89 111.89 104.73
Positions (direct):
Sr (0.0000, 0.0000, 0.0000)
Sr (0.7500, 0.2500, 0.5000)
Tl (0.2500, 0.7500, 0.5000)
Pt (0.5000, 0.5000, 0.0000)
O (0.2705, 0.2727, 0.5433)
O (0.2728, 0.7295, 0.0022)
O (0.7273, 0.2706, 0.9978)
O (0.7294, 0.7272, 0.4567)



4.
This record from Alexandria describes a relaxed structure of PuInHg. The functional is PBE-GGA.

Summary:
symmetry: No. 63
relative energy among the computed polymorphs: 84.2 meV per atom
density of states at the Fermi level: 19.93 states/eV per cell

a b c (Å): 7.3337 7.3337 4.7894
angles (deg): 90.00 90.00 143.99
Positions (direct):
Pu (0.0734, 0.9266, 0.7500)
Pu (0.9266, 0.0734, 0.2500)
In (0.2475, 0.7525, 0.2500)
In (0.7525, 0.2475, 0.7500)
Hg (0.4040, 0.5960, 0.7500)
Hg (0.5960, 0.4040, 0.2500)



5.
This record from Alexandria describes a relaxed structure of IrSI. The functional is PBE-GGA.

Summary:
symmetry: No. 12
relative energy among the computed polymorphs: 31.2 meV per atom
ΔE_f (raw): -0.18 eV per atom

a b c (Å): 7.5549 7.5549 6.6705
angles (deg): 112.55 112.55 28.00
Positions (direct):
Ir (0.2470, 0.2470, 0.2721)
Ir (0.7530, 0.7530, 0.7279)
S (0.3359, 0.3359, 0.6499)
S (0.6641, 0.6641, 0.3501)
I (0.1349, 0.1349, 0.8261)
I (0.8651, 0.8651, 0.1739)



6.
This record from Alexandria describes a relaxed structure of Pr2Zn5Hg. The functional is PBE-GGA.

Summary:
symmetry: No. 63
relative energy among the computed polymorphs: 0.0 meV per atom
density of states at the Fermi level: 9.51 states/eV per cell

a b c (Å): 8.6680 8.6680 9.1000
angles (deg): 90.00 90.00 150.10
Positions (direct):
Pr (0.0000, 0.0000, 0.0000)
Pr (0.0000, 0.0000, 0.5000)
Pr (0.2060, 0.7940, 0.7500)
Pr (0.7940, 0.2060, 0.2500)
Zn (0.1835, 0.8165, 0.1086)
Zn (0.1835, 0.8165, 0.3914)
Zn (0.3444, 0.6556, 0.0178)
Zn (0.3444, 0.6556, 0.4822)
Zn (0.3962, 0.6038, 0.7500)
Zn (0.6038, 0.3962, 0.2500)
Zn (0.6556, 0.3444, 0.5178)
Zn (0.6556, 0.3444, 0.9822)
Zn (0.8165, 0.1835, 0.6086)
Zn (0.8165, 0.1835, 0.8914)
Hg (0.4453, 0.5547, 0.2500)
Hg (0.5547, 0.4453, 0.7500)



7.
This record from Alexandria describes a relaxed structure of ZrTlVBi2. The functional is PBE-GGA.

Summary:
symmetry: No. 123
E_tot: -4.45 eV per atom
density of states at the Fermi level: 8.91 states/eV per cell

a b c (Å): 5.6389 5.6389 5.5840
angles (deg): 90.00 90.00 90.00
Positions (direct):
Zr (0.0000, 0.0000, 0.0000)
Tl (0.0000, 0.0000, 0.5000)
V (0.5000, 0.5000, 0.5000)
Bi (0.0000, 0.5000, 0.0000)
Bi (0.5000, 0.0000, 0.0000)



8.
This record from Alexandria describes a relaxed structure of BaSi2Ag. The functional is PBE-GGA.

Summary:
symmetry: No. 62
ΔE_f (raw): -0.27 eV per atom
density of states at the Fermi level: 13.41 states/eV per cell

a b c (Å): 14.8264 4.4671 11.4498
angles (deg): 90.00 90.00 90.00
Positions (direct):
Ba (0.0551, 0.2500, 0.2456)
Ba (0.2019, 0.7500, 0.5018)
Ba (0.2981, 0.2500, 0.0018)
Ba (0.4449, 0.7500, 0.7456)
Ba (0.5551, 0.2500, 0.2544)
Ba (0.7019, 0.7500, 0.9982)
Ba (0.7981, 0.2500, 0.4982)
Ba (0.9449, 0.7500, 0.7544)
Si (0.0244, 0.2500, 0.5394)
Si (0.1168, 0.2500, 0.7103)
Si (0.1268, 0.7500, 0.0301)
Si (0.2207, 0.7500, 0.2046)
Si (0.2793, 0.2500, 0.7046)
Si (0.3732, 0.2500, 0.5301)
Si (0.3832, 0.7500, 0.2103)
Si (0.4756, 0.7500, 0.0394)
Si (0.5244, 0.2500, 0.9606)
Si (0.6168, 0.2500, 0.7897)
Si (0.6268, 0.7500, 0.4699)
Si (0.7207, 0.7500, 0.2954)
Si (0.7793, 0.2500, 0.7954)
Si (0.8732, 0.2500, 0.9699)
Si (0.8832, 0.7500, 0.2897)
Si (0.9756, 0.7500, 0.4606)
Ag (0.0594, 0.2500, 0.9384)
Ag (0.1870, 0.7500, 0.8035)
Ag (0.3130, 0.2500, 0.3035)
Ag (0.4406, 0.7500, 0.4384)
Ag (0.5594, 0.2500, 0.5616)
Ag (0.6870, 0.7500, 0.6965)
Ag (0.8130, 0.2500, 0.1965)
Ag (0.9406, 0.7500, 0.0616)